Record 1
The following is a PBE calculation of crystalline KCd2GaPt at its relaxed geometry, from the Alexandria database.

Properties
**Formation energy**: -0.3133 eV/atom
**Crystal system**: tetragonal
**DFT total energy**: -2.7124 eV per atom

The structure in CIF format:
```
data_KCd2GaPt
_chemical_formula_sum 'K1 Cd2 Ga1 Pt1'
_space_group_name_H-M_alt 'P 4/m m m'
_space_group_IT_number 123
_space_group_name_Hall '-P 4 2'
_cell_length_a 5.3365
_cell_length_b 5.3365
_cell_length_c 4.8454
_cell_angle_alpha 90.00
_cell_angle_beta 90.00
_cell_angle_gamma 90.00
loop_
_atom_site_label
_atom_site_type_symbol
_atom_site_fract_x
_atom_site_fract_y
_atom_site_fract_z
K1 K 0.0000 0.0000 0.0000
Cd1 Cd 0.0000 0.5000 0.5000
Ga1 Ga 0.5000 0.5000 0.0000
Pt1 Pt 0.5000 0.5000 0.5000
```

=====

Record 2
The following is a PBE calculation of crystalline K2CdGaPt at its relaxed geometry, from the Alexandria database.

Properties
**Formation energy**: -0.0857 eV/atom
**Crystal system**: tetragonal
**DFT total energy**: -2.5213 eV per atom

The structure in CIF format:
```
data_K2CdGaPt
_chemical_formula_sum 'K2 Cd1 Ga1 Pt1'
_space_group_name_H-M_alt 'P 4/m m m'
_space_group_IT_number 123
_space_group_name_Hall '-P 4 2'
_cell_length_a 6.2555
_cell_length_b 6.2555
_cell_length_c 4.8168
_cell_angle_alpha 90.00
_cell_angle_beta 90.00
_cell_angle_gamma 90.00
loop_
_atom_site_label
_atom_site_type_symbol
_atom_site_fract_x
_atom_site_fract_y
_atom_site_fract_z
K1 K 0.0000 0.5000 0.0000
Cd1 Cd 0.0000 0.0000 0.5000
Ga1 Ga 0.5000 0.5000 0.5000
Pt1 Pt 0.5000 0.5000 0.0000
```

=====

Record 3
The following is a PBE calculation of crystalline KRb2CdGa at its relaxed geometry, from the Alexandria database.

Properties
**Formation energy**: 0.1169 eV/atom
**Crystal system**: tetragonal
**DFT total energy**: -1.2780 eV per atom

The structure in CIF format:
```
data_KRb2CdGa
_chemical_formula_sum 'K1 Rb2 Cd1 Ga1'
_space_group_name_H-M_alt 'P 4/m m m'
_space_group_IT_number 123
_space_group_name_Hall '-P 4 2'
_cell_length_a 7.1596
_cell_length_b 7.1596
_cell_length_c 5.3938
_cell_angle_alpha 90.00
_cell_angle_beta 90.00
_cell_angle_gamma 90.00
loop_
_atom_site_label
_atom_site_type_symbol
_atom_site_fract_x
_atom_site_fract_y
_atom_site_fract_z
K1 K 0.0000 0.0000 0.0000
Rb1 Rb 0.0000 0.5000 0.5000
Cd1 Cd 0.5000 0.5000 0.5000
Ga1 Ga 0.5000 0.5000 0.0000
```

=====

Record 4
The following is a PBE calculation of crystalline K2RbCdGa at its relaxed geometry, from the Alexandria database.

Properties
**Formation energy**: 0.0900 eV/atom
**Crystal system**: tetragonal
**DFT total energy**: -1.3309 eV per atom

The structure in CIF format:
```
data_K2RbCdGa
_chemical_formula_sum 'K2 Rb1 Cd1 Ga1'
_space_group_name_H-M_alt 'P 4/m m m'
_space_group_IT_number 123
_space_group_name_Hall '-P 4 2'
_cell_length_a 6.8516
_cell_length_b 6.8516
_cell_length_c 5.3913
_cell_angle_alpha 90.00
_cell_angle_beta 90.00
_cell_angle_gamma 90.00
loop_
_atom_site_label
_atom_site_type_symbol
_atom_site_fract_x
_atom_site_fract_y
_atom_site_fract_z
K1 K 0.0000 0.5000 0.0000
Rb1 Rb 0.0000 0.0000 0.5000
Cd1 Cd 0.5000 0.5000 0.0000
Ga1 Ga 0.5000 0.5000 0.5000
```

=====

Record 5
The following is a PBE calculation of crystalline K2RbCdGa at its relaxed geometry, from the Alexandria database.

Properties
**Formation energy**: 0.0594 eV/atom
**Crystal system**: tetragonal
**DFT total energy**: -1.3615 eV per atom

The structure in CIF format:
```
data_K2RbCdGa
_chemical_formula_sum 'K2 Rb1 Cd1 Ga1'
_space_group_name_H-M_alt 'P 4/m m m'
_space_group_IT_number 123
_space_group_name_Hall '-P 4 2'
_cell_length_a 6.7307
_cell_length_b 6.7307
_cell_length_c 5.4115
_cell_angle_alpha 90.00
_cell_angle_beta 90.00
_cell_angle_gamma 90.00
loop_
_atom_site_label
_atom_site_type_symbol
_atom_site_fract_x
_atom_site_fract_y
_atom_site_fract_z
K1 K 0.0000 0.5000 0.0000
Rb1 Rb 0.0000 0.0000 0.5000
Cd1 Cd 0.5000 0.5000 0.5000
Ga1 Ga 0.5000 0.5000 0.0000
```

=====

Record 6
The following is a PBE calculation of crystalline KRb2CdGa at its relaxed geometry, from the Alexandria database.

Properties
**Formation energy**: 0.0932 eV/atom
**Crystal system**: tetragonal
**DFT total energy**: -1.3017 eV per atom

The structure in CIF format:
```
data_KRb2CdGa
_chemical_formula_sum 'K1 Rb2 Cd1 Ga1'
_space_group_name_H-M_alt 'P 4/m m m'
_space_group_IT_number 123
_space_group_name_Hall '-P 4 2'
_cell_length_a 7.0764
_cell_length_b 7.0764
_cell_length_c 5.3349
_cell_angle_alpha 90.00
_cell_angle_beta 90.00
_cell_angle_gamma 90.00
loop_
_atom_site_label
_atom_site_type_symbol
_atom_site_fract_x
_atom_site_fract_y
_atom_site_fract_z
K1 K 0.0000 0.0000 0.0000
Rb1 Rb 0.0000 0.5000 0.5000
Cd1 Cd 0.5000 0.5000 0.0000
Ga1 Ga 0.5000 0.5000 0.5000
```

=====

Record 7
The following is a PBE calculation of crystalline KRbCd2Ga at its relaxed geometry, from the Alexandria database.

Properties
**Formation energy**: 0.0432 eV/atom
**Crystal system**: tetragonal
**DFT total energy**: -1.3412 eV per atom

The structure in CIF format:
```
data_KRbCd2Ga
_chemical_formula_sum 'K1 Rb1 Cd2 Ga1'
_space_group_name_H-M_alt 'P 4/m m m'
_space_group_IT_number 123
_space_group_name_Hall '-P 4 2'
_cell_length_a 5.5099
_cell_length_b 5.5099
_cell_length_c 6.3448
_cell_angle_alpha 90.00
_cell_angle_beta 90.00
_cell_angle_gamma 90.00
loop_
_atom_site_label
_atom_site_type_symbol
_atom_site_fract_x
_atom_site_fract_y
_atom_site_fract_z
K1 K 0.0000 0.0000 0.0000
Rb1 Rb 0.5000 0.5000 0.0000
Cd1 Cd 0.0000 0.5000 0.5000
Ga1 Ga 0.0000 0.0000 0.5000
```

=====

Record 8
The following is a PBE calculation of crystalline KCdGa2Rh at its relaxed geometry, from the Alexandria database.

Properties
**Formation energy**: -0.3014 eV/atom
**Crystal system**: tetragonal
**DFT total energy**: -3.3849 eV per atom

The structure in CIF format:
```
data_KCdGa2Rh
_chemical_formula_sum 'K1 Cd1 Ga2 Rh1'
_space_group_name_H-M_alt 'P 4/m m m'
_space_group_IT_number 123
_space_group_name_Hall '-P 4 2'
_cell_length_a 4.8431
_cell_length_b 4.8431
_cell_length_c 5.3127
_cell_angle_alpha 90.00
_cell_angle_beta 90.00
_cell_angle_gamma 90.00
loop_
_atom_site_label
_atom_site_type_symbol
_atom_site_fract_x
_atom_site_fract_y
_atom_site_fract_z
K1 K 0.0000 0.0000 0.0000
Cd1 Cd 0.5000 0.5000 0.0000
Ga1 Ga 0.0000 0.5000 0.5000
Rh1 Rh 0.5000 0.5000 0.5000
```

=====

Record 9
The following is a PBE calculation of crystalline KCd2GaRh at its relaxed geometry, from the Alexandria database.

Properties
**Formation energy**: -0.2382 eV/atom
**Crystal system**: tetragonal
**DFT total energy**: -2.8994 eV per atom

The structure in CIF format:
```
data_KCd2GaRh
_chemical_formula_sum 'K1 Cd2 Ga1 Rh1'
_space_group_name_H-M_alt 'P 4/m m m'
_space_group_IT_number 123
_space_group_name_Hall '-P 4 2'
_cell_length_a 5.3043
_cell_length_b 5.3043
_cell_length_c 4.7958
_cell_angle_alpha 90.00
_cell_angle_beta 90.00
_cell_angle_gamma 90.00
loop_
_atom_site_label
_atom_site_type_symbol
_atom_site_fract_x
_atom_site_fract_y
_atom_site_fract_z
K1 K 0.0000 0.0000 0.0000
Cd1 Cd 0.0000 0.5000 0.5000
Ga1 Ga 0.5000 0.5000 0.0000
Rh1 Rh 0.5000 0.5000 0.5000
```

=====

Record 10
The following is a PBE calculation of crystalline KCdGa2Ru at its relaxed geometry, from the Alexandria database.

Properties
**Formation energy**: -0.1726 eV/atom
**Crystal system**: tetragonal
**DFT total energy**: -3.6410 eV per atom

The structure in CIF format:
```
data_KCdGa2Ru
_chemical_formula_sum 'K1 Cd1 Ga2 Ru1'
_space_group_name_H-M_alt 'P 4/m m m'
_space_group_IT_number 123
_space_group_name_Hall '-P 4 2'
_cell_length_a 4.8493
_cell_length_b 4.8493
_cell_length_c 5.3272
_cell_angle_alpha 90.00
_cell_angle_beta 90.00
_cell_angle_gamma 90.00
loop_
_atom_site_label
_atom_site_type_symbol
_atom_site_fract_x
_atom_site_fract_y
_atom_site_fract_z
K1 K 0.0000 0.0000 0.0000
Cd1 Cd 0.5000 0.5000 0.0000
Ga1 Ga 0.0000 0.5000 0.5000
Ru1 Ru 0.5000 0.5000 0.5000
```

=====

Record 11
The following is a PBE calculation of crystalline KCdGaSb2 at its relaxed geometry, from the Alexandria database.

Properties
**Crystal system**: tetragonal
**DFT total energy**: -2.8814 eV per atom

The structure in CIF format:
```
data_KCdGaSb2
_chemical_formula_sum 'K2 Cd2 Ga2 Sb4'
_space_group_name_H-M_alt 'I -4 m 2'
_space_group_IT_number 119
_space_group_name_Hall 'I -4 -2'
_cell_length_a 4.7021
_cell_length_b 4.7021
_cell_length_c 14.0838
_cell_angle_alpha 90.00
_cell_angle_beta 90.00
_cell_angle_gamma 90.00
loop_
_atom_site_label
_atom_site_type_symbol
_atom_site_fract_x
_atom_site_fract_y
_atom_site_fract_z
K1 K 0.0000 0.0000 0.0000
Cd1 Cd 0.0000 0.5000 0.7500
Ga1 Ga 0.0000 0.5000 0.2500
Sb1 Sb 0.0000 0.0000 0.3716
```

=====

Record 12
The following is a PBE calculation of crystalline K2CdGaSe at its relaxed geometry, from the Alexandria database.

Properties
**Crystal system**: tetragonal
**DFT total energy**: -2.0599 eV per atom

The structure in CIF format:
```
data_K2CdGaSe
_chemical_formula_sum 'K2 Cd1 Ga1 Se1'
_space_group_name_H-M_alt 'P 4/m m m'
_space_group_IT_number 123
_space_group_name_Hall '-P 4 2'
_cell_length_a 6.2322
_cell_length_b 6.2322
_cell_length_c 5.3864
_cell_angle_alpha 90.00
_cell_angle_beta 90.00
_cell_angle_gamma 90.00
loop_
_atom_site_label
_atom_site_type_symbol
_atom_site_fract_x
_atom_site_fract_y
_atom_site_fract_z
K1 K 0.0000 0.5000 0.0000
Cd1 Cd 0.0000 0.0000 0.5000
Ga1 Ga 0.5000 0.5000 0.5000
Se1 Se 0.0000 0.0000 0.0000
```